The following is a DFT calculation (PBE) of a relaxed DyPu2Ga3Pt4 crystal.

Summary:
Energy of formation, eV/f.u.: -7.83
Space-group type: P-4m2
Calculated density, g cm⁻³: 13.42
E_tot, Ry per atom: -0.5464
DOS at the Fermi energy, states/eV/cell: 26.239

Cell: 4.1773 4.1773 11.6297 Å, 90.00 90.00 90.00°
Last column: nearest neighbours and their distance in Å.
Element x y z (fractional)
Dy: 0.5000 0.5000 0.5000  4 Pt 2.80, 4 Ga 2.95
Pt: 0.0000 0.0000 0.0000  4 Ga 2.55
Pt: 0.5000 0.0000 0.6600  1 Ga 2.49
Pt: 0.5000 0.5000 0.0000  4 Ga 2.55
Pt: 0.0000 0.5000 0.3400  1 Ga 2.49
Pu: 0.0000 0.5000 0.7652  8 Pt 3.20-3.44, 4 Ga 3.21
Pu: 0.5000 0.0000 0.2348  8 Pt 3.20-3.44, 4 Ga 3.21
Ga: 0.0000 0.5000 0.1257  5 Pt 2.49-2.55
Ga: 0.0000 0.0000 0.5000  4 Pt 2.80, 4 Dy 2.95
Ga: 0.5000 0.0000 0.8743  5 Pt 2.49-2.55